# 1
CuBrCl2 | GGA-PBE | relaxed

abc: 6.140 3.072 6.159
angles: 90.00 114.12 90.00
Space group P2/m (No. 10)
Asymmetric unit:
Cu 0.000 0.000 0.000
Br 0.500 0.000 0.500
Cl 0.156 0.500 0.845



# 2
La2PbCl8 | GGA-PBE | relaxed

abc: 8.635 12.675 5.599
angles: 90.00 105.25 90.00
Space group C2/m (No. 12)
Asymmetric unit:
La 0.000 0.185 0.000
Pb 0.000 0.500 0.500
Cl 0.000 0.267 0.500
Cl 0.131 0.000 0.309
Cl 0.197 0.369 0.091



# 3
CuIBr2 | GGA-PBE | relaxed

abc: 7.258 7.258 10.147
angles: 90.00 90.00 90.00
Space group I-42d (No. 122)
Asymmetric unit:
Cu 0.000 0.000 0.000
I 0.000 0.000 0.500
Br 0.136 0.250 0.125



no.,relative energy among the computed polymorphs (eV/atom)
1,0.000
2,0.044
3,0.222